Model one:
{
  "formula": "CrC3O",
  "functional": "PBE+U",
  "state": "relaxed",
  "cell": [[-1.8113, -1.1120, 3.1786], [3.2750, 0.2584, 1.9566], [-0.7838, 3.6493, 0.8300]],
  "species": ["C", "C", "O", "C", "Cr"],
  "frac_coords": [[0.5000, 0.0000, 0.0000], [0.0000, 0.0000, 0.5000], [0.5000, 0.5000, 0.5000], [0.0000, 0.5000, 0.0000], [0.0000, 0.0000, 0.0000]],
  "vol_a3_per_atom": 11.18,
  "sg": "Pm-3m (221)"
}

Model two:
{
  "formula": "CrC3O",
  "functional": "PBE+U",
  "state": "relaxed",
  "cell": [[3.4721, 0.0000, 0.0000], [0.0000, 3.4721, 0.0000], [0.0000, 0.0000, 3.4721]],
  "species": ["C", "Cr", "O", "C", "C"],
  "frac_coords": [[0.0000, 0.5000, 0.0000], [0.5000, 0.5000, 0.5000], [0.0000, 0.0000, 0.0000], [0.0000, 0.0000, 0.5000], [0.5000, 0.0000, 0.0000]],
  "vol_a3_per_atom": 8.37,
  "sg": "Pm-3m (221)"
}

Result of the stability comparison: model two is the least stable of them.